The following is a GGA+U calculation of a geometry-optimized RbMnRhO6 structure, from Alexandria via LeMat-Bulk. Values from VASP.

Quantum ESPRESSO input file:
```
&SYSTEM
  ibrav = 0, nat = 9, ntyp = 4
/
ATOMIC_SPECIES
Rb 85.47 Rb.upf
Mn 54.94 Mn.upf
Rh 102.91 Rh.upf
O 16.00 O.upf
ATOMIC_POSITIONS crystal
Rb 0.000 0.000 0.000
Mn 0.667 0.667 0.500
Rh 0.333 0.333 0.500
O 0.997 0.392 0.331
O 0.392 0.997 0.669
O 0.611 0.392 0.669
O 0.997 0.611 0.669
O 0.392 0.611 0.331
O 0.611 0.997 0.331
CELL_PARAMETERS angstrom
-4.763 0.640 1.854
-3.995 -2.279 -2.319
0.759 -5.113 3.719
```

Properties
* calculated total energy: -5.91 eV per atom
* volume: 16.26 A^3/atom
* total magnetization: 1.0 μB/f.u.